! IrOs2Ru4Rh (GGA-PBE, relaxed); values from VASP
! **DFT formation energy**: 0.060 eV per atom
! **Size of the total moment**: 0.00 μB per atom
! **Total energy**: -75.297 eV for the cell shown
! **SG**: P2/m
&SYSTEM
  ibrav = 0, nat = 8, ntyp = 4
/
ATOMIC_SPECIES
Ir 192.22 Ir.upf
Os 190.23 Os.upf
Ru 101.07 Ru.upf
Rh 102.91 Rh.upf
ATOMIC_POSITIONS angstrom
Ir 0.000 0.000 0.000
Os -0.797 1.358 4.435
Os 1.553 0.000 4.435
Ru -0.024 0.000 6.623
Ru 0.774 1.358 2.236
Ru 2.333 1.358 6.634
Ru 3.131 0.000 2.248
Rh 2.350 1.358 0.000
CELL_PARAMETERS angstrom
4.700 0.000 0.000
0.000 2.716 0.000
-1.593 0.000 8.870

! CePu2Ga2Ge2 (GGA-PBE, relaxed); values from VASP
! **DFT formation energy**: -0.152 eV per atom
! **Size of the total moment**: 0.30 μB per atom
! **Total energy**: -50.950 eV for the cell shown
! **SG**: R-3m
&SYSTEM
  ibrav = 0, nat = 7, ntyp = 4
/
ATOMIC_SPECIES
Ce 140.12 Ce.upf
Pu 244.00 Pu.upf
Ga 69.72 Ga.upf
Ge 72.64 Ge.upf
ATOMIC_POSITIONS angstrom
Ce 0.000 0.000 0.000
Pu 0.000 0.000 4.282
Pu 0.000 0.000 23.904
Ga 0.000 0.000 11.812
Ga 0.000 0.000 16.375
Ge 0.000 0.000 7.468
Ge 0.000 0.000 20.718
CELL_PARAMETERS angstrom
2.044 1.180 9.395
-2.044 1.180 9.395
0.000 -2.360 9.395